Record 1
Entry from Alexandria via LeMat-Bulk: an optimized crystal structure of ZnCoTe (GGA-PBE).

- energy above the most stable polymorph in this dataset (eV/atom) = 0.000

a = 4.203 Å, b = 4.203 Å, c = 4.203 Å
α = 60.00°, β = 60.00°, γ = 60.00°
Positions (direct):
Zn  0.000  0.000  0.000
Co  0.250  0.250  0.250
Te  0.500  0.500  0.500

Record 2
Entry from Alexandria via LeMat-Bulk: an optimized crystal structure of Zn2CoTe (GGA-PBE).

a = 3.125 Å, b = 3.125 Å, c = 7.332 Å
α = 90.00°, β = 90.00°, γ = 90.00°
Positions (direct):
Zn  0.000  0.000  0.000
Zn  0.500  0.500  0.192
Co  0.000  0.000  0.402
Te  0.500  0.500  0.590

Record 3
Entry from Alexandria via LeMat-Bulk: an optimized crystal structure of ZnCoTe (GGA-PBE).

- energy above the most stable polymorph in this dataset (eV/atom) = 0.248

a = 3.378 Å, b = 3.378 Å, c = 5.779 Å
α = 90.00°, β = 90.00°, γ = 120.00°
Positions (direct):
Zn  0.000  0.000  0.000
Co  0.333  0.667  0.285
Te  0.667  0.333  0.547

Record 4
Entry from Alexandria via LeMat-Bulk: an optimized crystal structure of Zn2CoTe (GGA-PBE).

a = 3.637 Å, b = 3.637 Å, c = 5.132 Å
α = 90.00°, β = 90.00°, γ = 90.00°
Positions (direct):
Zn  0.000  0.000  0.232
Zn  0.000  0.000  0.768
Co  0.500  0.500  0.000
Te  0.500  0.500  0.500

Record 5
Entry from Alexandria via LeMat-Bulk: an optimized crystal structure of ZnCo4Te (GGA-PBE).

a = 4.887 Å, b = 4.887 Å, c = 4.887 Å
α = 60.00°, β = 60.00°, γ = 60.00°
Positions (direct):
Zn  0.000  0.000  0.000
Co  0.123  0.626  0.626
Co  0.626  0.123  0.626
Co  0.626  0.626  0.123
Co  0.626  0.626  0.626
Te  0.250  0.250  0.250

Record 6
Entry from Alexandria via LeMat-Bulk: an optimized crystal structure of Zn2CoTe (GGA-PBE).

a = 4.282 Å, b = 4.282 Å, c = 5.813 Å
α = 93.28°, β = 93.28°, γ = 46.42°
Positions (direct):
Zn  0.000  0.000  0.000
Zn  0.708  0.708  0.838
Co  0.299  0.299  0.158
Te  0.625  0.625  0.382

Record 7
Entry from Alexandria via LeMat-Bulk: an optimized crystal structure of Zn2CoTe (GGA-PBE).

a = 5.167 Å, b = 5.167 Å, c = 5.167 Å
α = 136.44°, β = 136.44°, γ = 63.31°
Positions (direct):
Zn  0.250  0.750  0.500
Zn  0.750  0.250  0.500
Co  0.000  0.000  0.000
Te  0.500  0.500  0.000

Record 8
Entry from Alexandria via LeMat-Bulk: an optimized crystal structure of Zn2CoTe (GGA-PBE).

a = 4.327 Å, b = 4.327 Å, c = 3.845 Å
α = 90.00°, β = 90.00°, γ = 107.94°
Positions (direct):
Zn  0.000  0.500  0.000
Zn  0.500  0.000  0.000
Co  0.000  0.000  0.500
Te  0.500  0.500  0.500

Record 9
Entry from Alexandria via LeMat-Bulk: an optimized crystal structure of ZnCoTe (GGA-PBE).

- energy above the most stable polymorph in this dataset (eV/atom) = 0.349

a = 4.729 Å, b = 4.729 Å, c = 4.729 Å
α = 136.31°, β = 136.31°, γ = 63.50°
Positions (direct):
Zn  0.000  0.000  0.000
Co  0.327  0.327  0.000
Te  0.675  0.675  0.000

Record 10
Entry from Alexandria via LeMat-Bulk: an optimized crystal structure of Zn2CoTe (GGA-PBE).

a = 4.898 Å, b = 4.898 Å, c = 4.090 Å
α = 99.77°, β = 99.77°, γ = 44.37°
Positions (direct):
Zn  0.243  0.243  0.200
Zn  0.757  0.757  0.800
Co  0.500  0.500  0.000
Te  0.000  0.000  0.500

Record 11
Entry from Alexandria via LeMat-Bulk: an optimized crystal structure of ZnCoTe (GGA-PBE).

- energy above the most stable polymorph in this dataset (eV/atom) = 0.339

a = 11.450 Å, b = 3.387 Å, c = 3.387 Å
α = 60.08°, β = 90.00°, γ = 90.00°
Positions (direct):
Zn  0.136  0.000  0.000
Zn  0.864  0.000  0.000
Co  0.000  0.333  0.333
Co  0.500  0.324  0.324
Te  0.356  0.657  0.657
Te  0.644  0.657  0.657

Record 12
Entry from Alexandria via LeMat-Bulk: an optimized crystal structure of ZrCoTe2 (GGA-PBE).

a = 7.790 Å, b = 7.790 Å, c = 7.790 Å
α = 153.14°, β = 147.92°, γ = 42.32°
Positions (direct):
Zr  0.000  0.000  0.000
Co  0.500  0.500  0.000
Te  0.368  0.868  0.500
Te  0.632  0.132  0.500

no.,formation energy from raw total energies (eV/atom),magnetic moment (μB/cell)
1,-0.057,0.00
2,0.177,0.00
3,0.191,0.00
4,0.234,1.15
5,0.290,6.09
6,0.071,0.00
7,0.271,0.00
8,0.297,0.91
9,0.292,0.00
10,0.246,0.60
11,0.282,0.86
12,-0.384,0.27